Material: Na2Al2Si3O10
Method: DFT, PBE-GGA
State: optimized geometry

a = 8.7510 Å, b = 8.7510 Å, c = 11.6768 Å
α = 129.90°, β = 129.90°, γ = 43.51°
Fractional coordinates of all 34 atoms:
Na  0.1214  0.1214  0.3634
Na  0.4588  0.0464  0.1384
Na  0.8786  0.8786  0.6366
Na  0.9536  0.5412  0.8616
Al  0.0991  0.6390  0.2844
Al  0.3610  0.9009  0.7156
Al  0.3825  0.4265  0.7798
Al  0.5735  0.6175  0.2202
Si  0.0939  0.9061  0.0000
Si  0.3817  0.4331  0.5378
Si  0.5669  0.6183  0.4622
Si  0.5931  0.1515  0.9736
Si  0.8468  0.1532  0.5000
Si  0.8485  0.4069  0.0264
O  0.0175  0.1113  0.9627
O  0.0898  0.1366  0.6447
O  0.1302  0.6752  0.8399
O  0.2784  0.4044  0.3536
O  0.2816  0.7116  0.6479
O  0.2884  0.7184  0.3521
O  0.3090  0.3422  0.5734
O  0.3248  0.8698  0.1601
O  0.4899  0.0110  0.9251
O  0.5051  0.4026  0.1111
O  0.5081  0.1847  0.8158
O  0.5956  0.7216  0.6464
O  0.5974  0.4949  0.8889
O  0.6578  0.6910  0.4266
O  0.6740  0.2611  0.5829
O  0.7389  0.3260  0.4171
O  0.8153  0.4919  0.1842
O  0.8634  0.9102  0.3553
O  0.8887  0.9825  0.0373
O  0.9890  0.5101  0.0749

E_form (uncorrected) (eV per atom): -2.72
Calculated total energy (eV for the cell shown): -244.5
Density of states at the Fermi level (states/eV/f.u.): 0.0

***

Material: NaAlSi2O6
Method: DFT, PBE-GGA
State: optimized geometry

a = 6.4510 Å, b = 6.4510 Å, c = 5.2902 Å
α = 103.10°, β = 103.10°, γ = 84.34°
Fractional coordinates of all 20 atoms:
Na  0.2002  0.7998  0.7500
Na  0.7998  0.2002  0.2500
Al  0.4050  0.5950  0.2500
Al  0.5950  0.4050  0.7500
Si  0.1169  0.3036  0.7743
Si  0.3036  0.1169  0.2743
Si  0.6964  0.8831  0.7257
Si  0.8831  0.6964  0.2257
O  0.1241  0.5991  0.2910
O  0.1420  0.1531  0.9939
O  0.1531  0.1420  0.4939
O  0.3154  0.4673  0.8731
O  0.4009  0.8759  0.2090
O  0.4673  0.3154  0.3731
O  0.5327  0.6846  0.6269
O  0.5991  0.1241  0.7910
O  0.6846  0.5327  0.1269
O  0.8469  0.8580  0.5061
O  0.8580  0.8469  0.0061
O  0.8759  0.4009  0.7090

E_form (uncorrected) (eV per atom): -2.74
Calculated total energy (eV for the cell shown): -146.1
Density of states at the Fermi level (states/eV/f.u.): 0.0

***

Material: NaAlSiO5
Method: DFT, PBE-GGA
State: optimized geometry

a = 5.4744 Å, b = 5.4744 Å, c = 5.4744 Å
α = 60.00°, β = 60.00°, γ = 60.00°
Fractional coordinates of all 8 atoms:
Na  0.0000  0.0000  0.0000
Al  0.7500  0.7500  0.7500
Si  0.5000  0.5000  0.5000
O  0.1368  0.6211  0.6211
O  0.2500  0.2500  0.2500
O  0.6211  0.1368  0.6211
O  0.6211  0.6211  0.1368
O  0.6211  0.6211  0.6211

E_form (uncorrected) (eV per atom): -1.92
Calculated total energy (eV for the cell shown): -50.7
Density of states at the Fermi level (states/eV/f.u.): 8.8

***

Material: Na4Sm3AlO8
Method: DFT, PBE-GGA
State: optimized geometry

a = 6.7860 Å, b = 6.7860 Å, c = 6.8232 Å
α = 119.84°, β = 119.84°, γ = 59.98°
Fractional coordinates of all 16 atoms:
Na  0.0000  0.0000  0.0000
Na  0.0000  0.5000  0.0000
Na  0.5000  0.0000  0.0000
Na  0.5000  0.5000  0.0000
Sm  0.0000  0.0000  0.5000
Sm  0.0000  0.5000  0.5000
Sm  0.5000  0.0000  0.5000
Al  0.5000  0.5000  0.5000
O  0.2397  0.2397  0.7192
O  0.2698  0.7168  0.7034
O  0.2814  0.2814  0.2949
O  0.2832  0.7302  0.2966
O  0.7168  0.2698  0.7034
O  0.7186  0.7186  0.7051
O  0.7302  0.2832  0.2966
O  0.7603  0.7603  0.2808

E_form (uncorrected) (eV per atom): -2.51
Calculated total energy (eV for the cell shown): -103.0
Density of states at the Fermi level (states/eV/f.u.): 0.0

***

Material: Na2AlSnO4
Method: DFT, PBE-GGA
State: optimized geometry

a = 5.7002 Å, b = 5.7002 Å, c = 5.7002 Å
α = 125.18°, β = 125.18°, γ = 81.25°
Fractional coordinates of all 8 atoms:
Na  0.0000  0.0000  0.0000
Na  0.7500  0.2500  0.5000
Al  0.5000  0.5000  0.0000
Sn  0.2500  0.7500  0.5000
O  0.2049  0.1628  0.5955
O  0.3906  0.7951  0.9578
O  0.5673  0.6094  0.4045
O  0.8372  0.4327  0.0422

E_form (uncorrected) (eV per atom): -1.93
Calculated total energy (eV for the cell shown): -45.6
Density of states at the Fermi level (states/eV/f.u.): 1.9

***

Material: NaSr3Al2O6
Method: DFT, PBE-GGA
State: optimized geometry

a = 5.8921 Å, b = 5.8921 Å, c = 6.7153 Å
α = 90.00°, β = 90.00°, γ = 120.00°
Fractional coordinates of all 12 atoms:
Na  0.0000  0.0000  0.0000
Sr  0.0000  0.0000  0.5000
Sr  0.3333  0.6667  0.1567
Sr  0.6667  0.3333  0.8433
Al  0.3333  0.6667  0.7061
Al  0.6667  0.3333  0.2939
O  0.1718  0.3436  0.7760
O  0.1718  0.8282  0.7760
O  0.3436  0.1718  0.2240
O  0.6564  0.8282  0.7760
O  0.8282  0.1718  0.2240
O  0.8282  0.6564  0.2240

E_form (uncorrected) (eV per atom): -2.34
Calculated total energy (eV for the cell shown): -71.7
Density of states at the Fermi level (states/eV/f.u.): 2.3

***

Material: Na2SrAlO4
Method: DFT, PBE-GGA
State: optimized geometry

a = 5.3892 Å, b = 5.3892 Å, c = 5.3892 Å
α = 116.87°, β = 116.87°, γ = 95.51°
Fractional coordinates of all 8 atoms:
Na  0.2500  0.7500  0.5000
Na  0.7500  0.2500  0.5000
Sr  0.0000  0.0000  0.0000
Al  0.5000  0.5000  0.0000
O  0.1840  0.1840  0.6096
O  0.4256  0.8160  0.0000
O  0.5744  0.5744  0.3904
O  0.8160  0.4256  0.0000

E_form (uncorrected) (eV per atom): -2.08
Calculated total energy (eV for the cell shown): -44.5
Density of states at the Fermi level (states/eV/f.u.): 6.4

***

Material: NaTaAl2O6
Method: DFT, PBE-GGA
State: optimized geometry

a = 7.1380 Å, b = 7.1380 Å, c = 6.0273 Å
α = 105.39°, β = 105.39°, γ = 101.64°
Fractional coordinates of all 20 atoms:
Na  0.1058  0.8942  0.7500
Na  0.8942  0.1058  0.2500
Ta  0.1918  0.8082  0.2500
Ta  0.8082  0.1918  0.7500
Al  0.3038  0.4428  0.8288
Al  0.4428  0.3038  0.3288
Al  0.5572  0.6962  0.6712
Al  0.6962  0.5572  0.1712
O  0.0572  0.2281  0.6982
O  0.1787  0.6267  0.9549
O  0.2281  0.0572  0.1982
O  0.3373  0.4340  0.5408
O  0.3733  0.8213  0.5451
O  0.4340  0.3373  0.0408
O  0.5660  0.6627  0.9592
O  0.6267  0.1787  0.4549
O  0.6627  0.5660  0.4592
O  0.7719  0.9428  0.8018
O  0.8213  0.3733  0.0451
O  0.9428  0.7719  0.3018

E_form (uncorrected) (eV per atom): -2.73
Calculated total energy (eV for the cell shown): -155.4
Density of states at the Fermi level (states/eV/f.u.): 0.0

***

Material: Na2TbAlO4
Method: DFT, PBE-GGA
State: optimized geometry

a = 5.5219 Å, b = 3.2212 Å, c = 5.8098 Å
α = 90.00°, β = 108.93°, γ = 90.00°
Fractional coordinates of all 8 atoms:
Na  0.0000  0.0000  0.0000
Na  0.5000  0.5000  0.0000
Tb  0.0000  0.5000  0.5000
Al  0.5000  0.0000  0.5000
O  0.2747  0.0000  0.6993
O  0.2898  0.5000  0.2991
O  0.7102  0.5000  0.7009
O  0.7253  0.0000  0.3007

E_form (uncorrected) (eV per atom): -2.50
Calculated total energy (eV for the cell shown): -50.8
Density of states at the Fermi level (states/eV/f.u.): 0.0

***

Material: NaAl2TcO
Method: DFT, PBE-GGA
State: optimized geometry

a = 4.3753 Å, b = 4.3753 Å, c = 4.0581 Å
α = 90.00°, β = 90.00°, γ = 90.00°
Fractional coordinates of all 5 atoms:
Na  0.0000  0.0000  0.0000
Al  0.0000  0.5000  0.5000
Al  0.5000  0.0000  0.5000
Tc  0.5000  0.5000  0.0000
O  0.5000  0.5000  0.5000

E_form (uncorrected) (eV per atom): 0.03
Calculated total energy (eV for the cell shown): -24.0
Density of states at the Fermi level (states/eV/f.u.): 2.6

***

Material: NaAlTc2O8
Method: DFT, PBE-GGA
State: optimized geometry

a = 5.2435 Å, b = 5.2435 Å, c = 6.9767 Å
α = 90.52°, β = 90.52°, γ = 65.49°
Fractional coordinates of all 12 atoms:
Na  0.0000  0.0000  0.0000
Al  0.0000  0.0000  0.5000
Tc  0.3587  0.3587  0.7312
Tc  0.6413  0.6413  0.2688
O  0.2047  0.7361  0.6963
O  0.2088  0.2088  0.5569
O  0.2639  0.7953  0.3037
O  0.2844  0.2844  0.9608
O  0.7156  0.7156  0.0392
O  0.7361  0.2047  0.6963
O  0.7912  0.7912  0.4431
O  0.7953  0.2639  0.3037

E_form (uncorrected) (eV per atom): -1.70
Calculated total energy (eV for the cell shown): -85.8
Density of states at the Fermi level (states/eV/f.u.): 6.4

***

Material: NaAl2TeO6
Method: DFT, PBE-GGA
State: optimized geometry

a = 6.8773 Å, b = 6.8773 Å, c = 5.3844 Å
α = 98.08°, β = 98.08°, γ = 88.58°
Fractional coordinates of all 20 atoms:
Na  0.0830  0.9170  0.7500
Na  0.9170  0.0830  0.2500
Al  0.2095  0.3906  0.7238
Al  0.3906  0.2095  0.2238
Al  0.6094  0.7905  0.7762
Al  0.7905  0.6094  0.2762
Te  0.2737  0.7263  0.2500
Te  0.7263  0.2737  0.7500
O  0.0089  0.7565  0.3401
O  0.1582  0.6195  0.8989
O  0.2435  0.9911  0.1599
O  0.2781  0.4001  0.4174
O  0.3805  0.8418  0.6011
O  0.4001  0.2781  0.9174
O  0.5999  0.7219  0.0826
O  0.6195  0.1582  0.3989
O  0.7219  0.5999  0.5826
O  0.7565  0.0089  0.8401
O  0.8418  0.3805  0.1011
O  0.9911  0.2435  0.6599

E_form (uncorrected) (eV per atom): -2.05
Calculated total energy (eV for the cell shown): -124.3
Density of states at the Fermi level (states/eV/f.u.): 1.4

***

Material: NaAlTe2O8
Method: DFT, PBE-GGA
State: optimized geometry

a = 4.7151 Å, b = 4.7151 Å, c = 6.2266 Å
α = 90.00°, β = 90.00°, γ = 95.93°
Fractional coordinates of all 12 atoms:
Na  0.0000  0.0000  0.0000
Al  0.0000  0.0000  0.5000
Te  0.5000  0.5000  0.2531
Te  0.5000  0.5000  0.7469
O  0.2024  0.2024  0.2777
O  0.2024  0.2024  0.7223
O  0.3044  0.6956  0.5000
O  0.3228  0.6772  0.0000
O  0.6772  0.3228  0.0000
O  0.6956  0.3044  0.5000
O  0.7976  0.7976  0.2777
O  0.7976  0.7976  0.7223

E_form (uncorrected) (eV per atom): -1.39
Calculated total energy (eV for the cell shown): -67.7
Density of states at the Fermi level (states/eV/f.u.): 0.0

***

Material: Na3Ti3AlO8
Method: DFT, PBE-GGA
State: optimized geometry

a = 5.9437 Å, b = 5.9437 Å, c = 6.5298 Å
α = 117.13°, β = 117.13°, γ = 59.98°
Fractional coordinates of all 15 atoms:
Na  0.0000  0.0000  0.0000
Na  0.0000  0.5000  0.0000
Na  0.5000  0.0000  0.0000
Ti  0.0000  0.5000  0.5000
Ti  0.5000  0.0000  0.5000
Ti  0.5000  0.5000  0.5000
Al  0.0000  0.0000  0.5000
O  0.2218  0.2218  0.6876
O  0.2221  0.7430  0.6872
O  0.2570  0.7779  0.3128
O  0.2643  0.2643  0.2924
O  0.7357  0.7357  0.7076
O  0.7430  0.2221  0.6872
O  0.7779  0.2570  0.3128
O  0.7782  0.7782  0.3124

E_form (uncorrected) (eV per atom): -2.59
Calculated total energy (eV for the cell shown): -110.0
Density of states at the Fermi level (states/eV/f.u.): 2.9

***

Material: Na2TiAlO4
Method: DFT, PBE-GGA
State: optimized geometry

a = 5.2321 Å, b = 5.2321 Å, c = 5.2321 Å
α = 116.84°, β = 116.84°, γ = 95.57°
Fractional coordinates of all 8 atoms:
Na  0.0000  0.0000  0.0000
Na  0.7500  0.2500  0.5000
Ti  0.5000  0.5000  0.0000
Al  0.2500  0.7500  0.5000
O  0.2339  0.1114  0.5609
O  0.3270  0.7661  0.8776
O  0.5506  0.6730  0.4391
O  0.8886  0.4494  0.1224

E_form (uncorrected) (eV per atom): -2.39
Calculated total energy (eV for the cell shown): -53.3
Density of states at the Fermi level (states/eV/f.u.): 1.7

***

Material: Na3Tm3AlO8
Method: DFT, PBE-GGA
State: optimized geometry

a = 6.6985 Å, b = 6.6985 Å, c = 6.6985 Å
α = 58.55°, β = 58.55°, γ = 58.55°
Fractional coordinates of all 15 atoms:
Na  0.0000  0.5000  0.5000
Na  0.5000  0.0000  0.5000
Na  0.5000  0.5000  0.0000
Tm  0.0000  0.0000  0.5000
Tm  0.0000  0.5000  0.0000
Tm  0.5000  0.0000  0.0000
Al  0.5000  0.5000  0.5000
O  0.2364  0.2364  0.2364
O  0.2652  0.7126  0.7126
O  0.2874  0.2874  0.7348
O  0.2874  0.7348  0.2874
O  0.7126  0.2652  0.7126
O  0.7126  0.7126  0.2652
O  0.7348  0.2874  0.2874
O  0.7636  0.7636  0.7636

E_form (uncorrected) (eV per atom): -2.68
Calculated total energy (eV for the cell shown): -101.0
Density of states at the Fermi level (states/eV/f.u.): 10.4

***

Material: NaUAlO5
Method: DFT, PBE-GGA
State: optimized geometry

a = 5.8332 Å, b = 5.8332 Å, c = 7.9435 Å
α = 105.53°, β = 105.53°, γ = 104.19°
Fractional coordinates of all 16 atoms:
Na  0.1655  0.8345  0.7500
Na  0.8345  0.1655  0.2500
U  0.5000  0.5000  0.0000
U  0.5000  0.5000  0.5000
Al  0.1827  0.8173  0.2500
Al  0.8173  0.1827  0.7500
O  0.1323  0.2543  0.9005
O  0.2023  0.6112  0.3790
O  0.2543  0.1323  0.4005
O  0.3888  0.7977  0.1210
O  0.4195  0.5805  0.7500
O  0.5805  0.4195  0.2500
O  0.6112  0.2023  0.8790
O  0.7457  0.8677  0.5995
O  0.7977  0.3888  0.6210
O  0.8677  0.7457  0.0995

E_form (uncorrected) (eV per atom): -2.85
Calculated total energy (eV for the cell shown): -127.9
Density of states at the Fermi level (states/eV/f.u.): 0.0

***

Material: NaUAl2O6
Method: DFT, PBE-GGA
State: optimized geometry

a = 7.0403 Å, b = 7.0403 Å, c = 5.3485 Å
α = 97.46°, β = 97.46°, γ = 88.65°
Fractional coordinates of all 20 atoms:
Na  0.0803  0.9197  0.7500
Na  0.9197  0.0803  0.2500
U  0.2818  0.7182  0.2500
U  0.7182  0.2818  0.7500
Al  0.2124  0.3867  0.7033
Al  0.3867  0.2124  0.2033
Al  0.6133  0.7876  0.7967
Al  0.7876  0.6133  0.2967
O  0.0058  0.2442  0.6541
O  0.1709  0.6086  0.8893
O  0.2442  0.0058  0.1541
O  0.2885  0.4109  0.3992
O  0.3914  0.8291  0.6107
O  0.4109  0.2885  0.8992
O  0.5891  0.7115  0.1008
O  0.6086  0.1709  0.3893
O  0.7115  0.5891  0.6008
O  0.7558  0.9942  0.8459
O  0.8291  0.3914  0.1107
O  0.9942  0.7558  0.3459

E_form (uncorrected) (eV per atom): -2.88
Calculated total energy (eV for the cell shown): -157.4

***

Material: NaU2AlO8
Method: DFT, PBE-GGA
State: optimized geometry

a = 4.7171 Å, b = 4.7171 Å, c = 6.9476 Å
α = 90.00°, β = 90.00°, γ = 91.81°
Fractional coordinates of all 12 atoms:
Na  0.0000  0.0000  0.0000
U  0.5000  0.5000  0.2537
U  0.5000  0.5000  0.7463
Al  0.0000  0.0000  0.5000
O  0.2000  0.2000  0.2919
O  0.2000  0.2000  0.7081
O  0.2957  0.7043  0.5000
O  0.3221  0.6779  0.0000
O  0.6779  0.3221  0.0000
O  0.7043  0.2957  0.5000
O  0.8000  0.8000  0.2919
O  0.8000  0.8000  0.7081

E_form (uncorrected) (eV per atom): -2.86
Calculated total energy (eV for the cell shown): -101.6
Density of states at the Fermi level (states/eV/f.u.): 0.0